# 1
! PmSmDy2P4 GGA-PBE relaxed; values from VASP
&SYSTEM
  ibrav = 0, nat = 8, ntyp = 4
/
ATOMIC_SPECIES
Pm 145.00 Pm.upf
Sm 150.36 Sm.upf
Dy 162.50 Dy.upf
P 30.97 P.upf
ATOMIC_POSITIONS angstrom
Pm 0.0000 0.0000 0.0000
Sm -1.1727 2.0328 3.3180
Dy 2.3453 0.0000 3.3180
Dy 3.5180 2.0328 0.0000
P 0.0424 0.0000 4.9873
P 1.2157 2.0328 1.6789
P 4.6482 0.0000 1.6487
P 3.4749 2.0328 4.9571
CELL_PARAMETERS angstrom
7.0361 0.0000 0.0000
0.0000 4.0656 0.0000
-2.3454 0.0000 6.6360
! Volume = 190 Å³ per cell
! Density of states at the Fermi level = 0.75 states/eV per cell
! Spin magnetization = 0.000 μB/atom
! ΔH_f (0 K) = -1.588 eV per atom


# 2
! TbPm2DyP4 GGA-PBE relaxed; values from VASP
&SYSTEM
  ibrav = 0, nat = 8, ntyp = 4
/
ATOMIC_SPECIES
Tb 158.93 Tb.upf
Pm 145.00 Pm.upf
Dy 162.50 Dy.upf
P 30.97 P.upf
ATOMIC_POSITIONS angstrom
Tb 0.0000 0.0000 0.0000
Pm 2.3513 0.0000 3.3272
Pm 3.5274 2.0387 0.0000
Dy -1.1761 2.0387 3.3272
P -0.0432 0.0000 4.9712
P 1.1319 2.0387 1.6526
P 4.7458 0.0000 1.6831
P 3.5707 2.0387 5.0017
CELL_PARAMETERS angstrom
7.0549 0.0000 0.0000
0.0000 4.0773 0.0000
-2.3523 0.0000 6.6544
! Volume = 191 Å³ per cell
! Density of states at the Fermi level = 0.72 states/eV per cell
! Spin magnetization = 0.000 μB/atom
! ΔH_f (0 K) = -1.585 eV per atom


Question: Number 1 is which compound?
Answer: PmSmDy2P4